Here is a relaxed ThMn2Si2B crystal from Alexandria. Energies are from PBE-GGA.

## Properties
The uncorrected formation energy comes out at -0.59 eV per atom. As for the symmetry: P4/mmm (123).

Structure (POSCAR):
```
ThMn2Si2B
1.0
-1.246 -1.057 3.659
-1.058 -3.602 -1.401
4.847 -1.857 1.114
Th Mn Si B
1 2 2 1
Direct
0.000 0.000 0.500
0.500 0.000 0.000
0.000 0.500 0.000
0.500 0.500 0.743
0.500 0.500 0.257
0.000 0.000 0.000
```